Sm2BiRh: relaxed, GGA-PBE.

a = 3.616 Å, b = 3.616 Å, c = 7.932 Å
α = 90.00°, β = 90.00°, γ = 90.00°
Atoms (fractional coordinates):
Sm 0.000 0.000 0.211
Sm 0.000 0.000 0.789
Bi 0.500 0.500 0.500
Rh 0.500 0.500 0.000

Results
DFT total energy   -5.854 eV/atom
Energy relative to the elements   -15.82 kcal/mol of atoms
V   25.93 A^3/atom
Polymorph energy (0 for the lowest one)   91.5 meV/atom